Density functional theory data (GGA-PBE) for crystalline LaPrEr2Se4 at its relaxed geometry.

Geometry as CIF:
```
data_LaPrEr2Se4
_symmetry_space_group_name_H-M 'P 1 2/m 1'
_symmetry_Int_Tables_number 10
_symmetry_space_group_name_Hall '-P 2y'
_cell_length_a 7.096
_cell_length_b 4.077
_cell_length_c 7.439
_cell_angle_alpha 90.00
_cell_angle_beta 108.43
_cell_angle_gamma 90.00
loop_
_atom_site_label
_atom_site_type_symbol
_atom_site_fract_x
_atom_site_fract_y
_atom_site_fract_z
_atom_site_occupancy
La1 La 0.000 0.000 0.000 1
Pr1 Pr 0.500 0.500 0.000 1
Er1 Er 0.000 0.500 0.500 1
Er2 Er 0.500 0.000 0.500 1
Se1 Se 0.243 0.000 0.728 1
Se2 Se 0.259 0.500 0.273 1
```

Summary:
total magnetization	0.000	μB/atom
formation energy from raw total energies	-1.820	eV per atom
uncorrected energy	-47.33	eV for the cell shown